A PBEsol-optimized structure of YTc2AsPd. Source: the Alexandria database, functional SCAN.

It has space group P4/mmm (No. 123), with a = 4.470 Å, b = 4.470 Å, c = 5.141 Å, α = 90.00°, β = 90.00° and γ = 90.00°. Symmetry generates all atoms from Y at (0.000, 0.000, 0.000), Tc at (0.000, 0.500, 0.500), As at (0.000, 0.000, 0.500) and Pd at (0.500, 0.500, 0.000).

Its final energy is -148.00 eV per formula unit. The volume is 102.7 Å³/cell.

---

A PBEsol-optimized structure of Si3WSe. Source: the Alexandria database, functional SCAN.

It has space group Pm-3m (No. 221), with a = 4.553 Å, b = 4.553 Å, c = 4.553 Å, α = 90.00°, β = 90.00° and γ = 90.00°. Symmetry generates all atoms from Si at (0.000, 0.000, 0.500), W at (0.500, 0.500, 0.500) and Se at (0.000, 0.000, 0.000).

Its final energy is -110.15 eV per formula unit. The volume is 94.4 Å³/cell.

---

A PBEsol-optimized structure of OsSN2O. Source: the Alexandria database, functional SCAN.

It has space group P4/mmm (No. 123), with a = 3.614 Å, b = 3.614 Å, c = 3.434 Å, α = 90.00°, β = 90.00° and γ = 90.00°. Symmetry generates all atoms from Os at (0.000, 0.000, 0.000), S at (0.500, 0.500, 0.500), N at (0.000, 0.500, 0.500) and O at (0.500, 0.500, 0.000).

Its final energy is -96.78 eV per formula unit. The volume is 44.8 Å³/cell.

---

A PBEsol-optimized structure of RbAu. Source: the Alexandria database, functional SCAN.

It has space group Pm-3m (No. 221), with a = 4.011 Å, b = 4.011 Å, c = 4.011 Å, α = 90.00°, β = 90.00° and γ = 90.00°. Symmetry generates all atoms from Rb at (0.000, 0.000, 0.000) and Au at (0.500, 0.500, 0.500).

Its final energy is -90.67 eV per formula unit. The volume is 64.5 Å³/cell.

---

A PBEsol-optimized structure of ZrSiAg2. Source: the Alexandria database, functional SCAN.

It has space group C2/m (No. 12), with a = 10.798 Å, b = 3.082 Å, c = 4.564 Å, α = 90.00°, β = 114.83° and γ = 90.00°. Symmetry generates all atoms from Zr at (0.000, 0.000, 0.000), Si at (0.000, 0.500, 0.500) and Ag at (0.223, 0.000, 0.723).

Its final energy is -103.89 eV per formula unit. The volume is 137.9 Å³/cell.

---

A PBEsol-optimized structure of TaBeAgC2. Source: the Alexandria database, functional SCAN.

It has space group P4/mmm (No. 123), with a = 3.734 Å, b = 3.734 Å, c = 4.213 Å, α = 90.00°, β = 90.00° and γ = 90.00°. Symmetry generates all atoms from Ta at (0.000, 0.000, 0.000), Be at (0.000, 0.000, 0.500), Ag at (0.500, 0.500, 0.000) and C at (0.000, 0.500, 0.500).

Its final energy is -112.56 eV per formula unit. The volume is 58.7 Å³/cell.